{"formula": "BaZn3Pd", "functional": "GGA-PBE", "state": "optimized geometry", "relative_energy_ev_per_atom": 0.005, "ef_ev_per_atom": -0.325, "lattice": [[4.951, 0.000, 0.000], [0.000, 4.951, 0.000], [0.000, 0.000, 4.951]], "species": ["Ba", "Zn", "Zn", "Zn", "Pd"], "frac_coords": [[0.000, 0.000, 0.000], [0.000, 0.500, 0.500], [0.500, 0.000, 0.500], [0.500, 0.500, 0.000], [0.500, 0.500, 0.500]]}

***

{"formula": "Rb3H2O4", "functional": "GGA-PBE", "state": "optimized geometry", "final_energy_ev_per_cell": -36.6, "lattice": [[-2.058, 3.792, 5.501], [2.058, -3.792, 5.501], [2.058, 3.792, -5.501]], "species": ["Rb", "Rb", "Rb", "H", "H", "O", "O", "O", "O"], "frac_coords": [[0.000, 0.000, 0.000], [0.310, 0.810, 0.500], [0.690, 0.190, 0.500], [0.295, 0.500, 0.795], [0.705, 0.500, 0.205], [0.150, 0.397, 0.752], [0.355, 0.603, 0.752], [0.645, 0.397, 0.248], [0.850, 0.603, 0.248]]}

***

{"formula": "Sc3CoPd", "functional": "GGA-PBE", "state": "optimized geometry", "relative_energy_ev_per_atom": 0.000, "ef_ev_per_atom": -0.487, "lattice": [[4.602, -2.857, 0.000], [4.602, 2.857, 0.000], [-4.601, 0.000, 7.100]], "species": ["Sc", "Sc", "Sc", "Sc", "Sc", "Sc", "Co", "Co", "Pd", "Pd"], "frac_coords": [[0.076, 0.076, 0.282], [0.294, 0.294, 0.718], [0.312, 0.312, 0.123], [0.688, 0.688, 0.877], [0.706, 0.706, 0.282], [0.924, 0.924, 0.718], [0.250, 0.750, 0.000], [0.750, 0.250, 0.000], [0.269, 0.731, 0.500], [0.731, 0.269, 0.500]]}

***

{"formula": "NiMo2P", "functional": "GGA-PBE", "state": "optimized geometry", "ef_ev_per_atom": -0.011, "lattice": [[3.697, 0.000, 0.000], [0.000, 3.697, 0.000], [0.000, 0.000, 7.947]], "species": ["Ni", "Ni", "Mo", "Mo", "Mo", "Mo", "P", "P"], "frac_coords": [[0.000, 0.000, 0.000], [0.500, 0.500, 0.500], [0.000, 0.000, 0.500], [0.000, 0.500, 0.250], [0.500, 0.000, 0.750], [0.500, 0.500, 0.000], [0.000, 0.500, 0.750], [0.500, 0.000, 0.250]]}

***

{"formula": "KCa2NdBr8", "functional": "GGA-PBE", "state": "optimized geometry", "e_form_raw_kj_per_mol_atoms": -184.11, "lattice": [[6.775, 0.000, 0.000], [0.000, 9.086, 0.000], [-0.044, 0.000, 7.137]], "species": ["K", "Ca", "Ca", "Nd", "Br", "Br", "Br", "Br", "Br", "Br", "Br", "Br"], "frac_coords": [[0.000, 0.000, 0.000], [0.500, 0.246, 0.500], [0.500, 0.754, 0.500], [0.000, 0.500, 0.000], [0.245, 0.276, 0.168], [0.245, 0.724, 0.168], [0.265, 0.500, 0.667], [0.271, 0.000, 0.634], [0.729, 0.000, 0.366], [0.735, 0.500, 0.333], [0.755, 0.276, 0.832], [0.755, 0.724, 0.832]]}

***

{"formula": "UH2Cl4", "functional": "GGA-PBE", "state": "optimized geometry", "final_energy_ev_per_cell": -31.8, "lattice": [[6.965, 0.000, 0.000], [0.000, 3.528, 0.000], [-2.112, 0.000, 6.707]], "species": ["U", "H", "H", "Cl", "Cl", "Cl", "Cl"], "frac_coords": [[0.000, 0.000, 0.000], [0.083, 0.500, 0.914], [0.917, 0.500, 0.086], [0.218, 0.000, 0.774], [0.262, 0.500, 0.252], [0.738, 0.500, 0.748], [0.782, 0.000, 0.226]]}

***

| no. | calculated density (Mg/m³) |
| --- | --- |
| 1 | 6.02 |
| 2 | 3.12 |
| 3 | 5.34 |
| 4 | 8.61 |
| 5 | 3.41 |
| 6 | 3.85 |